Entry 1:
Compound: CaDyCuS3
Source: the Alexandria database
Functional: PBE
Structure: relaxed

## Properties
Electronic total energy, eV for the cell shown: -65.833
Raw formation energy, meV per atom: -1639
Space-group type: P2_1/m

Cell lengths 8.021, 3.852, 8.528 Å; angles 90.00, 102.19, 90.00 degrees
Fractional positions:
Ca: 0.183 0.250 0.235
Ca: 0.817 0.750 0.765
Dy: 0.328 0.750 0.827
Dy: 0.672 0.250 0.173
Cu: 0.085 0.250 0.585
Cu: 0.915 0.750 0.415
S: 0.097 0.250 0.861
S: 0.223 0.750 0.504
S: 0.426 0.750 0.162
S: 0.574 0.250 0.838
S: 0.777 0.250 0.496
S: 0.903 0.750 0.139

Entry 2:
Compound: CaDyCuSe3
Source: the Alexandria database
Functional: PBE
Structure: relaxed

## Properties
Electronic total energy, eV for the cell shown: -60.328
Raw formation energy, meV per atom: -1502
Space-group type: P2_1/m

Cell lengths 8.258, 4.001, 9.026 Å; angles 90.00, 102.60, 90.00 degrees
Fractional positions:
Ca: 0.187 0.250 0.246
Ca: 0.813 0.750 0.754
Dy: 0.325 0.750 0.829
Dy: 0.675 0.250 0.171
Cu: 0.081 0.250 0.582
Cu: 0.919 0.750 0.418
Se: 0.089 0.250 0.860
Se: 0.233 0.750 0.508
Se: 0.424 0.750 0.161
Se: 0.576 0.250 0.839
Se: 0.767 0.250 0.492
Se: 0.911 0.750 0.140

Entry 3:
Compound: CaDyCuSi
Source: the Alexandria database
Functional: PBE
Structure: relaxed

## Properties
Electronic total energy, eV for the cell shown: -17.560
D(E_F), states/eV per atom: 0.426
Raw formation energy, meV per atom: -359
Space-group type: F-43m

Cell lengths 4.971, 4.971, 4.971 Å; angles 60.00, 60.00, 60.00 degrees
Fractional positions:
Ca: 0.000 0.000 0.000
Dy: 0.500 0.500 0.500
Cu: 0.750 0.750 0.750
Si: 0.250 0.250 0.250

Entry 4:
Compound: CaDy2Cu2Si2
Source: the Alexandria database
Functional: PBE
Structure: relaxed

## Properties
Electronic total energy, eV for the cell shown: -33.315
D(E_F), states/eV per atom: 0.348
Raw formation energy, meV per atom: -439
Space-group type: R-3m

Cell lengths 9.639, 9.639, 9.639 Å; angles 25.55, 25.55, 25.55 degrees
Fractional positions:
Ca: 0.000 0.000 0.000
Dy: 0.127 0.127 0.127
Dy: 0.873 0.873 0.873
Cu: 0.404 0.404 0.404
Cu: 0.596 0.596 0.596
Si: 0.258 0.258 0.258
Si: 0.742 0.742 0.742

Entry 5:
Compound: CaDyCu2Si2
Source: the Alexandria database
Functional: PBE
Structure: relaxed

## Properties
Electronic total energy, eV for the cell shown: -28.887
D(E_F), states/eV per atom: 0.523
Raw formation energy, meV per atom: -541
Space-group type: P-3m1

Cell lengths 4.098, 4.098, 8.021 Å; angles 90.00, 90.00, 120.00 degrees
Fractional positions:
Ca: 0.000 0.000 0.000
Dy: 0.000 0.000 0.500
Cu: 0.333 0.667 0.742
Cu: 0.667 0.333 0.258
Si: 0.333 0.667 0.263
Si: 0.667 0.333 0.737

Entry 6:
Compound: CaDyCuSn
Source: the Alexandria database
Functional: PBE
Structure: relaxed

## Properties
Formation enthalpy at 0 K, eV per atom: -0.4221
Electronic total energy, eV for the cell shown: -16.391
D(E_F), states/eV per atom: 0.460
Space-group type: F-43m

Cell lengths 5.191, 5.191, 5.191 Å; angles 60.00, 60.00, 60.00 degrees
Fractional positions:
Ca: 0.000 0.000 0.000
Dy: 0.500 0.500 0.500
Cu: 0.750 0.750 0.750
Sn: 0.250 0.250 0.250

Entry 7:
Compound: CaDyCu2Sn2
Source: the Alexandria database
Functional: PBE
Structure: relaxed

## Properties
Formation enthalpy at 0 K, eV per atom: -0.5086
Electronic total energy, eV for the cell shown: -25.854
D(E_F), states/eV per atom: 0.453
Space-group type: P-3m1

Cell lengths 4.574, 4.574, 7.547 Å; angles 90.00, 90.00, 120.00 degrees
Fractional positions:
Ca: 0.000 0.000 0.000
Dy: 0.000 0.000 0.500
Cu: 0.333 0.667 0.707
Cu: 0.667 0.333 0.293
Sn: 0.333 0.667 0.269
Sn: 0.667 0.333 0.731

Entry 8:
Compound: CaDyCuTe3
Source: the Alexandria database
Functional: PBE
Structure: relaxed

## Properties
Electronic total energy, eV for the cell shown: -53.973
D(E_F), states/eV per atom: 0.002
Raw formation energy, meV per atom: -1144
Space-group type: P2_1/m

Cell lengths 8.609, 4.249, 9.981 Å; angles 90.00, 102.54, 90.00 degrees
Fractional positions:
Ca: 0.193 0.250 0.273
Ca: 0.807 0.750 0.727
Dy: 0.323 0.750 0.831
Dy: 0.677 0.250 0.169
Cu: 0.075 0.250 0.581
Cu: 0.925 0.750 0.419
Te: 0.077 0.250 0.851
Te: 0.243 0.750 0.520
Te: 0.415 0.750 0.155
Te: 0.585 0.250 0.845
Te: 0.757 0.250 0.480
Te: 0.923 0.750 0.149